VASP calculation (GGA-PBE) on an optimized crystal structure of TcGeB2.

The volume is 223.83 Å³/cell. The value obtained for the formation energy is 0.699 eV/atom.

The structure belongs to space group I-42d (No. 122); the cell edges are 4.9532, 4.9532 and 9.1232 Å and the angles 90.00°, 90.00° and 90.00°. The inequivalent atoms are Tc at (0.0000, 0.0000, 0.0000), Ge at (0.0000, 0.0000, 0.5000) and B at (0.2361, 0.2500, 0.1250).

VASP calculation (GGA-PBE) on an optimized crystal structure of BeAlGeRu2.

The volume is 69.88 Å³/cell. The value obtained for the formation energy is 0.271 eV/atom.

The structure belongs to space group P4/mmm (No. 123); the cell edges are 4.2231, 4.2231 and 3.9182 Å and the angles 90.00°, 90.00° and 90.00°. The inequivalent atoms are Be at (0.0000, 0.0000, 0.0000), Al at (0.5000, 0.5000, 0.5000), Ge at (0.0000, 0.0000, 0.5000) and Ru at (0.0000, 0.5000, 0.0000).

VASP calculation (GGA-PBE) on an optimized crystal structure of Pr8As3Se4O.

The volume is 1274.81 Å³/cell. As for the energy relative to the elements, uncorrected: -1790.3 meV/atom.

The structure belongs to space group R-3m (No. 166, hexagonal axes); the cell edges are 8.3851, 8.3851 and 20.9361 Å and the angles 90.00°, 90.00° and 120.00°. The inequivalent atoms are Pr at (0.0000, 0.0000, 0.2469), Pr at (0.0175, 0.5088, 0.2424), As at (0.0000, 0.5000, 0.5000), Se at (0.0000, 0.0000, 0.0000), Se at (0.0000, 0.5000, 0.0000) and O at (0.0000, 0.0000, 0.5000).

VASP calculation (GGA-PBE) on an optimized crystal structure of KTlHg2Pd.

The volume is 164.59 Å³/cell. The value obtained for the formation energy is 0.014 eV/atom.

The structure belongs to space group P4/mmm (No. 123); the cell edges are 5.3355, 5.3355 and 5.7816 Å and the angles 90.00°, 90.00° and 90.00°. The inequivalent atoms are K at (0.0000, 0.0000, 0.0000), Tl at (0.5000, 0.5000, 0.0000), Hg at (0.0000, 0.5000, 0.5000) and Pd at (0.0000, 0.0000, 0.5000).

VASP calculation (GGA-PBE) on an optimized crystal structure of SrScPS2.

The volume is 122.87 Å³/cell. As for the energy relative to the elements, uncorrected: -1106.4 meV/atom.

The structure belongs to space group P4/mmm (No. 123); the cell edges are 4.9782, 4.9782 and 4.9578 Å and the angles 90.00°, 90.00° and 90.00°. The inequivalent atoms are Sr at (0.0000, 0.0000, 0.0000), Sc at (0.5000, 0.5000, 0.5000), P at (0.5000, 0.5000, 0.0000) and S at (0.0000, 0.5000, 0.5000).

VASP calculation (GGA-PBE) on an optimized crystal structure of Cs2NaInBi2.

The volume is 1033.31 Å³/cell. The value obtained for the formation energy is -0.411 eV/atom.

The structure belongs to space group Ibam (No. 72); the cell edges are 7.6263, 17.8340 and 7.5974 Å and the angles 90.00°, 90.00° and 90.00°. The inequivalent atoms are Cs at (0.2390, 0.1683, 0.0000), Na at (0.0000, 0.0000, 0.2500), In at (0.0000, 0.5000, 0.2500) and Bi at (0.2201, 0.4044, 0.0000).

VASP calculation (GGA-PBE) on an optimized crystal structure of LiS6F2.

The volume is 192.42 Å³/cell. As for the energy relative to the elements, uncorrected: -649.7 meV/atom.

The structure belongs to space group P-1 (No. 2); the cell edges are 3.9050, 7.0331 and 7.3148 Å and the angles 82.73°, 77.70° and 79.92°. The inequivalent atoms are Li at (0.0000, 0.0000, 0.0000), S at (0.2633, 0.2970, 0.4406), S at (0.4204, 0.5593, 0.7739), S at (0.4569, 0.2818, 0.6820) and F at (0.3878, 0.8286, 0.9279).

VASP calculation (GGA-PBE) on an optimized crystal structure of Cs3IrBr6.

The volume is 1627.35 Å³/cell. As for the energy relative to the elements, uncorrected: -1154.1 meV/atom.

The structure belongs to space group Fm-3m (No. 225); the cell edges are 11.7623, 11.7623 and 11.7623 Å and the angles 90.00°, 90.00° and 90.00°. The inequivalent atoms are Cs at (0.0000, 0.0000, 0.0000), Cs at (0.2500, 0.2500, 0.2500), Ir at (0.0000, 0.0000, 0.5000) and Br at (0.0000, 0.0000, 0.2864).

VASP calculation (GGA-PBE) on an optimized crystal structure of Dy5TlZn2.

The volume is 855.04 Å³/cell. The value obtained for the formation energy is -0.254 eV/atom.

The structure belongs to space group I4/mcm (No. 140); the cell edges are 7.5273, 7.5273 and 15.0906 Å and the angles 90.00°, 90.00° and 90.00°. The inequivalent atoms are Dy at (0.0000, 0.0000, 0.0000), Dy at (0.1663, 0.3337, 0.1466), Tl at (0.0000, 0.0000, 0.2500) and Zn at (0.1220, 0.3780, 0.5000).

VASP calculation (GGA-PBE) on an optimized crystal structure of Fe2TcH.

The volume is 167.89 Å³/cell. The total energy comes out at -27.764 eV/f.u.

The structure belongs to space group Fm-3m (No. 225); the cell edges are 5.5167, 5.5167 and 5.5167 Å and the angles 90.00°, 90.00° and 90.00°. The inequivalent atoms are Fe at (0.2500, 0.2500, 0.2500), Tc at (0.0000, 0.0000, 0.0000) and H at (0.0000, 0.0000, 0.5000).

VASP calculation (GGA-PBE) on an optimized crystal structure of Zr2VH.

The volume is 261.53 Å³/cell. The total energy comes out at -28.913 eV/f.u.

The structure belongs to space group I-42d (No. 122); the cell edges are 6.4496, 6.4496 and 6.2871 Å and the angles 90.00°, 90.00° and 90.00°. The inequivalent atoms are Zr at (0.1652, 0.2500, 0.1250), V at (0.0000, 0.0000, 0.5000) and H at (0.0000, 0.0000, 0.0000).

VASP calculation (GGA-PBE) on an optimized crystal structure of Ta3GePb.

The volume is 134.51 Å³/cell. The value obtained for the formation energy is 2.437 eV/atom.

The structure belongs to space group Pm-3m (No. 221); the cell edges are 5.1237, 5.1237 and 5.1237 Å and the angles 90.00°, 90.00° and 90.00°. The inequivalent atoms are Ta at (0.0000, 0.0000, 0.5000), Ge at (0.5000, 0.5000, 0.5000) and Pb at (0.0000, 0.0000, 0.0000).

VASP calculation (GGA-PBE) on an optimized crystal structure of La5Sm4Ho2.

The volume is 384.36 Å³/cell. The value obtained for the formation energy is 0.076 eV/atom.

The structure belongs to space group P2/m (No. 10); the cell edges are 9.0603, 3.5748 and 11.9047 Å and the angles 90.00°, 94.56° and 90.00°. The inequivalent atoms are La at (0.0000, 0.0000, 0.0000), La at (0.0662, 0.0000, 0.2935), La at (0.3072, 0.0000, 0.8352), Sm at (0.2200, 0.5000, 0.5492), Sm at (0.3399, 0.5000, 0.1123) and Ho at (0.4429, 0.0000, 0.3651).

VASP calculation (GGA-PBE) on an optimized crystal structure of BeAlHg2.

The volume is 74.94 Å³/cell. The value obtained for the formation energy is 0.376 eV/atom.

The structure belongs to space group P4mm (No. 99); the cell edges are 3.7882, 3.7882 and 5.2224 Å and the angles 90.00°, 90.00° and 90.00°. The inequivalent atoms are Be at (0.0000, 0.0000, 0.0000), Al at (0.5000, 0.5000, 0.7175), Hg at (0.0000, 0.0000, 0.5170) and Hg at (0.5000, 0.5000, 0.2010).

VASP calculation (GGA-PBE) on an optimized crystal structure of Ca3AgGe3.

The volume is 671.99 Å³/cell. The value obtained for the formation energy is -0.557 eV/atom.

The structure belongs to space group Cmcm (No. 63); the cell edges are 4.3742, 10.8155 and 14.2040 Å and the angles 90.00°, 90.00° and 90.00°. The inequivalent atoms are Ca at (0.0000, 0.0143, 0.2500), Ca at (0.0000, 0.2953, 0.1024), Ag at (0.0000, 0.0000, 0.0000), Ge at (0.0000, 0.2737, 0.7500) and Ge at (0.0000, 0.4133, 0.5991).

VASP calculation (GGA-PBE) on an optimized crystal structure of Ca2Re.

The volume is 146.55 Å³/cell. The value obtained for the formation energy is 0.984 eV/atom.

The structure belongs to space group P6_3/mmc (No. 194); the cell edges are 5.1055, 5.1055 and 6.4918 Å and the angles 90.00°, 90.00° and 120.00°. The inequivalent atoms are Ca at (0.0000, 0.0000, 0.0000), Ca at (0.3333, 0.6667, 0.2500) and Re at (0.3333, 0.6667, 0.7500).

VASP calculation (GGA-PBE) on an optimized crystal structure of LaYIrRh.

The volume is 348.40 Å³/cell. The value obtained for the formation energy is -0.708 eV/atom.

The structure belongs to space group F-43m (No. 216); the cell edges are 7.0365, 7.0365 and 7.0365 Å and the angles 90.00°, 90.00° and 90.00°. The inequivalent atoms are La at (0.0000, 0.0000, 0.0000), Y at (0.0000, 0.0000, 0.5000), Ir at (0.2500, 0.2500, 0.2500) and Rh at (0.2500, 0.2500, 0.7500).

VASP calculation (GGA-PBE) on an optimized crystal structure of Bi2PdW.

The volume is 343.03 Å³/cell. The value obtained for the formation energy is 0.674 eV/atom.

The structure belongs to space group Fm-3m (No. 225); the cell edges are 7.0002, 7.0002 and 7.0002 Å and the angles 90.00°, 90.00° and 90.00°. The inequivalent atoms are Bi at (0.2500, 0.2500, 0.2500), Pd at (0.0000, 0.0000, 0.0000) and W at (0.0000, 0.0000, 0.5000).

VASP calculation (GGA-PBE) on an optimized crystal structure of Rb2SnH6.

The volume is 610.35 Å³/cell. The total energy comes out at -26.129 eV/f.u.

The structure belongs to space group Fm-3m (No. 225); the cell edges are 8.4826, 8.4826 and 8.4826 Å and the angles 90.00°, 90.00° and 90.00°. The inequivalent atoms are Rb at (0.2500, 0.2500, 0.2500), Sn at (0.0000, 0.0000, 0.0000) and H at (0.0000, 0.0000, 0.2222).

VASP calculation (GGA-PBE) on an optimized crystal structure of MgZnIrOs2.

The volume is 86.86 Å³/cell. The value obtained for the formation energy is 1.669 eV/atom.

The structure belongs to space group P4/mmm (No. 123); the cell edges are 4.4808, 4.4808 and 4.3260 Å and the angles 90.00°, 90.00° and 90.00°. The inequivalent atoms are Mg at (0.0000, 0.0000, 0.0000), Zn at (0.0000, 0.0000, 0.5000), Ir at (0.5000, 0.5000, 0.0000) and Os at (0.0000, 0.5000, 0.5000).

VASP calculation (GGA-PBE) on an optimized crystal structure of BaTiHg.

The volume is 174.01 Å³/cell. The value obtained for the formation energy is 0.032 eV/atom.

The structure belongs to space group P4mm (No. 99); the cell edges are 3.7148, 3.7148 and 12.6094 Å and the angles 90.00°, 90.00° and 90.00°. The inequivalent atoms are Ba at (0.0000, 0.0000, 0.0000), Ba at (0.0000, 0.0000, 0.3808), Ti at (0.0000, 0.0000, 0.6769), Ti at (0.5000, 0.5000, 0.5837), Hg at (0.5000, 0.5000, 0.1929) and Hg at (0.5000, 0.5000, 0.8072).

VASP calculation (GGA-PBE) on an optimized crystal structure of BaBeBi3.

The volume is 155.59 Å³/cell. The value obtained for the formation energy is -0.081 eV/atom.

The structure belongs to space group Pm-3m (No. 221); the cell edges are 5.3785, 5.3785 and 5.3785 Å and the angles 90.00°, 90.00° and 90.00°. The inequivalent atoms are Ba at (0.0000, 0.0000, 0.0000), Be at (0.5000, 0.5000, 0.5000) and Bi at (0.0000, 0.5000, 0.5000).

VASP calculation (GGA-PBE) on an optimized crystal structure of MgNbCd.

The volume is 118.17 Å³/cell. The value obtained for the formation energy is 0.101 eV/atom.

The structure belongs to space group I4mm (No. 107); the cell edges are 2.9135, 2.9135 and 13.9207 Å and the angles 90.00°, 90.00° and 90.00°. The inequivalent atoms are Mg at (0.0000, 0.0000, 0.0000), Nb at (0.0000, 0.0000, 0.3381) and Cd at (0.0000, 0.0000, 0.6735).

VASP calculation (GGA-PBE) on an optimized crystal structure of ThMgCdPb.

The volume is 108.00 Å³/cell. The value obtained for the formation energy is -0.203 eV/atom.

The structure belongs to space group Pmmm (No. 47); the cell edges are 4.5850, 4.7248 and 4.9854 Å and the angles 90.00°, 90.00° and 90.00°. The inequivalent atoms are Th at (0.0000, 0.0000, 0.0000), Mg at (0.0000, 0.5000, 0.5000), Cd at (0.5000, 0.0000, 0.5000) and Pb at (0.5000, 0.5000, 0.0000).

VASP calculation (GGA-PBE) on an optimized crystal structure of Tb5Dy2Th4.

The volume is 753.39 Å³/cell. The value obtained for the formation energy is 0.276 eV/atom.

The structure belongs to space group Immm (No. 71); the cell edges are 3.4990, 9.3458 and 23.0392 Å and the angles 90.00°, 90.00° and 90.00°. The inequivalent atoms are Tb at (0.0000, 0.0000, 0.0000), Tb at (0.0000, 0.2943, 0.3496), Dy at (0.0000, 0.5000, 0.2297), Th at (0.0000, 0.2033, 0.5000) and Th at (0.0000, 0.5000, 0.0931).